DFT (GGA-PBE) results for a relaxed structure of PrDyO4.

Cell and atoms, written as POSCAR:
```
PrDyO4
1.0
3.3510 -1.9824 0.0000
3.3510 1.9824 0.0000
-0.8669 0.0000 6.3805
Pr Dy O
1 1 4
Direct
0.0000 0.0000 0.0000 Pr
0.6085 0.6085 0.5396 Dy
0.2180 0.2180 0.3496 O
0.3832 0.3832 0.2117 O
0.6502 0.6502 0.8985 O
0.9518 0.9518 0.6150 O
```

## Properties
- formation energy without anion corrections (eV/atom) = -2.8787
- space-group type = No. 8